1.
First-principles (PBE) data for a geometry-optimized Ti4SiC structure, as listed in Alexandria.

abc: 5.615 5.682 5.618
angles: 90.00 94.30 90.00
Space group P2_1/c (No. 14)
Inequivalent atoms, fractional coordinates:
Ti1 0.111 0.162 0.178 (multiplicity 4)
Ti2 0.331 0.626 0.102 (multiplicity 4)
Si1 0.500 0.000 0.000 (multiplicity 2)
C1 0.000 0.000 0.500 (multiplicity 2)

Summary:
formation energy without anion corrections	-0.386	eV per atom
D(E_F)	9.10	states/eV per cell
magnetization	0.00	μB per formula unit
theoretical density	4.3	Mg/m³

---

2.
First-principles (PBE) data for a geometry-optimized Tm2Ti2Si2C structure, as listed in Alexandria.

abc: 4.122 4.122 14.775
angles: 90.00 90.00 90.00
Space group I4/mmm (No. 139)
Inequivalent atoms, fractional coordinates:
Tm1 0.000 0.000 0.167 (multiplicity 4)
Ti1 0.000 0.500 0.000 (multiplicity 4)
Si1 0.000 0.000 0.373 (multiplicity 4)
C1 0.000 0.000 0.000 (multiplicity 2)

Summary:
formation energy without anion corrections	-0.772	eV per atom
D(E_F)	14.46	states/eV per cell
magnetization	0.46	μB per formula unit
theoretical density	6.6	Mg/m³

---

3.
First-principles (PBE) data for a geometry-optimized Y2Ti2Si2C structure, as listed in Alexandria.

abc: 4.142 4.142 15.036
angles: 90.00 90.00 90.00
Space group I4/mmm (No. 139)
Inequivalent atoms, fractional coordinates:
Y1 0.000 0.000 0.167 (multiplicity 4)
Ti1 0.000 0.500 0.000 (multiplicity 4)
Si1 0.000 0.000 0.376 (multiplicity 4)
C1 0.000 0.000 0.000 (multiplicity 2)

Summary:
formation energy without anion corrections	-0.787	eV per atom
D(E_F)	12.15	states/eV per cell
magnetization	0.88	μB per formula unit
theoretical density	4.4	Mg/m³

---

4.
First-principles (PBE) data for a geometry-optimized Tl3SiC structure, as listed in Alexandria.

abc: 4.919 4.919 4.919
angles: 90.00 90.00 90.00
Space group Pm-3m (No. 221)
Inequivalent atoms, fractional coordinates:
Tl1 0.000 0.000 0.500 (multiplicity 3)
Si1 0.500 0.500 0.500 (multiplicity 1)
C1 0.000 0.000 0.000 (multiplicity 1)

Summary:
formation energy without anion corrections	1.241	eV per atom
D(E_F)	4.74	states/eV per cell
energy relative to the lowest polymorph listed for this composition	0	meV/atom
magnetization	0.00	μB per formula unit
theoretical density	9.1	Mg/m³

---

5.
First-principles (PBE) data for a geometry-optimized TlSi3C structure, as listed in Alexandria.

abc: 4.257 4.257 4.257
angles: 90.00 90.00 90.00
Space group Pm-3m (No. 221)
Inequivalent atoms, fractional coordinates:
Tl1 0.000 0.000 0.000 (multiplicity 1)
Si1 0.000 0.500 0.500 (multiplicity 3)
C1 0.500 0.500 0.500 (multiplicity 1)

Summary:
formation energy without anion corrections	1.044	eV per atom
D(E_F)	2.35	states/eV per cell
energy relative to the lowest polymorph listed for this composition	0	meV/atom
magnetization	0.00	μB per formula unit
theoretical density	6.5	Mg/m³

---

6.
First-principles (PBE) data for a geometry-optimized TlSi3C structure, as listed in Alexandria.

abc: 5.221 5.221 5.221
angles: 90.00 90.00 90.00
Space group Pm-3m (No. 221)
Inequivalent atoms, fractional coordinates:
Tl1 0.000 0.000 0.000 (multiplicity 1)
Si1 0.000 0.000 0.500 (multiplicity 3)
C1 0.500 0.500 0.500 (multiplicity 1)

Summary:
formation energy without anion corrections	2.781	eV per atom
D(E_F)	4.26	states/eV per cell
energy relative to the lowest polymorph listed for this composition	1736	meV/atom
magnetization	0.98	μB per formula unit
theoretical density	3.5	Mg/m³

---

7.
First-principles (PBE) data for a geometry-optimized Tm7Si2C2 structure, as listed in Alexandria.

abc: 7.740 11.418 6.873
angles: 90.00 98.11 90.00
Space group C2/m (No. 12)
Inequivalent atoms, fractional coordinates:
Tm1 0.000 0.000 0.000 (multiplicity 2)
Tm2 0.078 0.500 0.787 (multiplicity 4)
Tm3 0.246 0.187 0.756 (multiplicity 8)
Si1 0.000 0.316 0.500 (multiplicity 4)
C1 0.221 0.500 0.109 (multiplicity 4)

Summary:
formation energy without anion corrections	-0.109	eV per atom
D(E_F)	17.48	states/eV per cell
magnetization	0.02	μB per formula unit
theoretical density	7.0	Mg/m³

---

8.
First-principles (PBE) data for a geometry-optimized Tm6Si2C structure, as listed in Alexandria.

abc: 6.137 7.536 10.925
angles: 90.00 123.27 90.00
Space group P2_1/c (No. 14)
Inequivalent atoms, fractional coordinates:
Tm1 0.118 0.164 0.444 (multiplicity 4)
Tm2 0.300 0.702 0.447 (multiplicity 4)
Tm3 0.360 0.033 0.249 (multiplicity 4)
Si1 0.193 0.113 0.756 (multiplicity 4)
C1 0.500 0.000 0.500 (multiplicity 2)

Summary:
formation energy without anion corrections	-0.488	eV per atom
D(E_F)	18.90	states/eV per cell
magnetization	0.00	μB per formula unit
theoretical density	8.5	Mg/m³

---

9.
First-principles (PBE) data for a geometry-optimized Tm4SiC2 structure, as listed in Alexandria.

abc: 3.652 12.025 12.293
angles: 90.00 90.00 90.00
Space group Cmcm (No. 63)
Inequivalent atoms, fractional coordinates:
Tm1 0.000 0.000 0.000 (multiplicity 4)
Tm2 0.000 0.266 0.106 (multiplicity 8)
Tm3 0.000 0.434 0.750 (multiplicity 4)
Si1 0.000 0.113 0.750 (multiplicity 4)
C1 0.000 0.364 0.561 (multiplicity 8)

Summary:
formation energy without anion corrections	-0.472	eV per atom
D(E_F)	9.74	states/eV per cell
magnetization	0.19	μB per formula unit
theoretical density	9.0	Mg/m³

---

10.
First-principles (PBE) data for a geometry-optimized Tm2USiC4 structure, as listed in Alexandria.

abc: 3.387 11.142 11.762
angles: 90.00 90.00 90.00
Space group Cmcm (No. 63)
Inequivalent atoms, fractional coordinates:
Tm1 0.000 0.134 0.049 (multiplicity 8)
U1 0.000 0.395 0.250 (multiplicity 4)
Si1 0.000 0.339 0.750 (multiplicity 4)
C1 0.000 0.055 0.250 (multiplicity 4)
C2 0.000 0.223 0.636 (multiplicity 8)
C3 0.000 0.500 0.000 (multiplicity 4)

Summary:
formation energy without anion corrections	-0.041	eV per atom
D(E_F)	21.39	states/eV per cell
magnetization	0.31	μB per formula unit
theoretical density	9.8	Mg/m³

---

11.
First-principles (PBE) data for a geometry-optimized U3Si2C3 structure, as listed in Alexandria.

abc: 3.684 3.684 18.990
angles: 90.00 90.00 90.00
Space group I4/mmm (No. 139)
Inequivalent atoms, fractional coordinates:
U1 0.000 0.000 0.000 (multiplicity 2)
U2 0.000 0.000 0.184 (multiplicity 4)
Si1 0.000 0.000 0.404 (multiplicity 4)
C1 0.000 0.000 0.500 (multiplicity 2)
C2 0.000 0.500 0.250 (multiplicity 4)

Summary:
formation energy without anion corrections	-0.018	eV per atom
D(E_F)	16.23	states/eV per cell
magnetization	1.99	μB per formula unit
theoretical density	10.4	Mg/m³

---

12.
First-principles (PBE) data for a geometry-optimized U3Si2C2 structure, as listed in Alexandria.

abc: 3.652 3.652 16.774
angles: 90.00 90.00 90.00
Space group I4/mmm (No. 139)
Inequivalent atoms, fractional coordinates:
U1 0.000 0.000 0.000 (multiplicity 2)
U2 0.000 0.000 0.172 (multiplicity 4)
Si1 0.000 0.000 0.417 (multiplicity 4)
C1 0.000 0.000 0.304 (multiplicity 4)

Summary:
formation energy without anion corrections	-0.253	eV per atom
D(E_F)	22.20	states/eV per cell
magnetization	4.49	μB per formula unit
theoretical density	11.8	Mg/m³

---

- Look up the magnetization of the twelfth one.
  4.49 μB per formula unit